[1]
Here is crystalline Al at its relaxed geometry from Alexandria. Energies are from PBE-GGA.

Cell: 11.2161 11.2161 2.8154 Å, 90.00 90.00 120.00°
Space group P6_3/m (No. 176)
Unique sites:
Al 0.0282 0.4067 0.2500
Al 0.2069 0.6990 0.2500

- Energy of formation: 0.27 eV/atom
- Excess energy over the best structure of this formula in the dataset: 274.6 meV per atom



[2]
Here is crystalline Al at its relaxed geometry from Alexandria. Energies are from PBE-GGA.

Cell: 5.132 5.132 5.132 Å, 90.00 90.00 90.00°
Space group Pm-3n (No. 223)
Unique sites:
Al 0.000 0.000 0.000
Al 0.000 0.250 0.500

- Energy of formation: 0.09 eV/atom
- Excess energy over the best structure of this formula in the dataset: 88.5 meV per atom



[3]
Here is crystalline Al at its relaxed geometry from Alexandria. Energies are from PBE-GGA.

Cell: 7.895 7.895 4.686 Å, 90.00 90.00 90.00°
Space group P4/m (No. 83)
Unique sites:
Al 0.059 0.677 0.000
Al 0.093 0.230 0.500
Al 0.244 0.563 0.500
Al 0.276 0.393 0.000

- Energy of formation: 0.17 eV/atom
- Excess energy over the best structure of this formula in the dataset: 170.9 meV per atom



[4]
Here is crystalline Al at its relaxed geometry from Alexandria. Energies are from PBE-GGA.

Cell: 2.813 2.813 4.175 Å, 90.00 90.00 90.00°
Space group I4/mmm (No. 139)
Unique sites:
Al 0.000 0.000 0.000

- Energy of formation: 0.00 eV/atom
- Excess energy over the best structure of this formula in the dataset: 1.9 meV per atom



[5]
Here is crystalline Al at its relaxed geometry from Alexandria. Energies are from PBE-GGA.

Cell: 6.045 6.045 6.045 Å, 90.00 90.00 90.00°
Space group Fd-3m (No. 227, origin choice 2)
Unique sites:
Al 0.125 0.125 0.125

- Energy of formation: 0.74 eV/atom
- Excess energy over the best structure of this formula in the dataset: 742.9 meV per atom



[6]
Here is crystalline Al at its relaxed geometry from Alexandria. Energies are from PBE-GGA.

Cell: 4.426 8.049 4.606 Å, 90.00 90.00 90.00°
Space group Cmce (No. 64)
Unique sites:
Al 0.000 0.156 0.071

- Energy of formation: 0.18 eV/atom
- Excess energy over the best structure of this formula in the dataset: 180.5 meV per atom



[7]
Here is crystalline Al3As5 at its relaxed geometry from Alexandria. Energies are from PBE-GGA.

Cell: 8.0375 8.0375 5.6381 Å, 90.00 90.00 120.00°
Space group P6_3/mcm (No. 193)
Unique sites:
Al 0.0000 0.3520 0.2500
As 0.0000 0.3177 0.7500
As 0.3333 0.6667 0.0000

- Energy of formation: 0.18 eV/atom
- Excess energy over the best structure of this formula in the dataset: 218.5 meV per atom



[8]
Here is crystalline AlAs8 at its relaxed geometry from Alexandria. Energies are from PBE-GGA.

Cell: 10.286 10.286 4.063 Å, 90.00 90.00 90.00°
Space group I4/mmm (No. 139)
Unique sites:
Al 0.000 0.000 0.000
As 0.000 0.375 0.000
As 0.124 0.124 0.500

- Energy of formation: 0.31 eV/atom



[9]
Here is crystalline Al3As5 at its relaxed geometry from Alexandria. Energies are from PBE-GGA.

Cell: 5.817 15.109 9.068 Å, 90.00 101.63 90.00°
Space group Cm (No. 8)
Unique sites:
Al 0.000 0.000 0.000
Al 0.118 0.500 0.654
Al 0.262 0.122 0.312
Al 0.452 0.240 0.926
As 0.062 0.500 0.372
As 0.277 0.233 0.524
As 0.278 0.259 0.156
As 0.337 0.123 0.733
As 0.424 0.387 0.798
As 0.462 0.500 0.263

- Energy of formation: -0.04 eV/atom
- Excess energy over the best structure of this formula in the dataset: 0.0 meV per atom



[10]
Here is crystalline AlAs2 at its relaxed geometry from Alexandria. Energies are from PBE-GGA.

Cell: 4.8457 4.8457 2.8019 Å, 90.00 90.00 120.00°
Space group P6/mmm (No. 191)
Unique sites:
Al 0.0000 0.0000 0.0000
As 0.3333 0.6667 0.5000

- Energy of formation: 0.25 eV/atom



[11]
Here is crystalline Al2As at its relaxed geometry from Alexandria. Energies are from PBE-GGA.

Cell: 6.329 6.329 6.329 Å, 90.00 90.00 90.00°
Space group Pa-3 (No. 205)
Unique sites:
Al 0.119 0.119 0.119
As 0.000 0.000 0.500

- Energy of formation: 0.10 eV/atom



[12]
Here is crystalline Al2As at its relaxed geometry from Alexandria. Energies are from PBE-GGA.

Cell: 5.412 4.842 8.410 Å, 90.00 90.00 90.00°
Space group Pnma (No. 62)
Unique sites:
Al 0.192 0.250 0.246
Al 0.236 0.250 0.913
As 0.243 0.250 0.584

- Energy of formation: 0.03 eV/atom



[13]
Here is crystalline AlAs2 at its relaxed geometry from Alexandria. Energies are from PBE-GGA.

Cell: 3.452 3.452 22.630 Å, 90.00 90.00 90.00°
Space group I4_1/amd (No. 141, origin choice 2)
Unique sites:
Al 0.000 0.250 0.375
As 0.000 0.250 0.820

- Energy of formation: 0.06 eV/atom



[14]
Here is crystalline Al2As at its relaxed geometry from Alexandria. Energies are from PBE-GGA.

Cell: 11.697 3.697 5.814 Å, 90.00 106.60 90.00°
Space group Cm (No. 8)
Unique sites:
Al 0.000 0.000 0.000
Al 0.061 0.500 0.381
Al 0.210 0.500 0.084
Al 0.347 0.000 0.745
As 0.130 0.000 0.708
As 0.341 0.000 0.312

- Energy of formation: -0.03 eV/atom



[15]
Here is crystalline AlAs4 at its relaxed geometry from Alexandria. Energies are from PBE-GGA.

Cell: 7.839 7.839 3.818 Å, 90.00 90.00 90.00°
Space group I4/m (No. 87)
Unique sites:
Al 0.000 0.000 0.000
As 0.090 0.217 0.500

- Energy of formation: 0.15 eV/atom
- Excess energy over the best structure of this formula in the dataset: 0.0 meV per atom



[16]
Here is crystalline AlAs4 at its relaxed geometry from Alexandria. Energies are from PBE-GGA.

Cell: 6.002 6.002 6.002 Å, 90.00 90.00 90.00°
Space group Im-3m (No. 229)
Unique sites:
Al 0.000 0.000 0.000
As 0.250 0.250 0.250

- Energy of formation: 0.28 eV/atom
- Excess energy over the best structure of this formula in the dataset: 132.7 meV per atom



[17]
Here is crystalline Al2As3 at its relaxed geometry from Alexandria. Energies are from PBE-GGA.

Cell: 3.8159 3.8159 23.1243 Å, 90.00 90.00 120.00°
Space group R-3m (No. 166, hexagonal axes)
Unique sites:
Al 0.0000 0.0000 0.1038
As 0.0000 0.0000 0.2996
As 0.0000 0.0000 0.5000

- Energy of formation: -0.08 eV/atom



[18]
Here is crystalline Al2As3 at its relaxed geometry from Alexandria. Energies are from PBE-GGA.

Cell: 4.6426 4.6426 5.3820 Å, 90.00 90.00 120.00°
Space group P-3m1 (No. 164)
Unique sites:
Al 0.3333 0.6667 0.2593
As 0.0000 0.0000 0.5000
As 0.3333 0.6667 0.7596

- Energy of formation: 0.09 eV/atom



[19]
Here is crystalline Al4As3 at its relaxed geometry from Alexandria. Energies are from PBE-GGA.

Cell: 5.7025 5.7025 4.8533 Å, 90.00 90.00 120.00°
Space group P6/mmm (No. 191)
Unique sites:
Al 0.0000 0.0000 0.2475
Al 0.3333 0.6667 0.5000
As 0.0000 0.5000 0.0000

- Energy of formation: 0.33 eV/atom
- Excess energy over the best structure of this formula in the dataset: 311.8 meV per atom



[20]
Here is crystalline Al4As at its relaxed geometry from Alexandria. Energies are from PBE-GGA.

Cell: 4.858 4.858 4.858 Å, 90.00 90.00 90.00°
Space group Pm-3m (No. 221)
Unique sites:
Al 0.000 0.000 0.000
Al 0.000 0.500 0.500
As 0.500 0.500 0.500

- Energy of formation: 0.64 eV/atom
- Excess energy over the best structure of this formula in the dataset: 561.4 meV per atom



Total magnetic moment (computed, μB per cell): 0.0; 0.0; 0.0; 0.0; 0.0; 0.0; 0.0; 0.0; 0.0; 0.0; 0.0; 0.0; 0.0; 0.0; 0.0; 0.0; 0.0; 0.0; 0.0; 0.0